This record from Alexandria describes a geometry-optimized Cs2SrCu2I6 structure. The functional is PBE-GGA.

crystal system = monoclinic
M_tot = 0.00 μB per formula unit
energy relative to the elements, uncorrected = -1.06 eV per atom

```
data_Cs2SrCu2I6
_symmetry_space_group_name_H-M 'P 1'
_symmetry_Int_Tables_number 1
_cell_length_a 8.484
_cell_length_b 8.484
_cell_length_c 9.571
_cell_angle_alpha 115.09
_cell_angle_beta 115.09
_cell_angle_gamma 60.18
loop_
_symmetry_equiv_pos_as_xyz
'x,y,z'
loop_
_atom_site_label
_atom_site_type_symbol
_atom_site_fract_x
_atom_site_fract_y
_atom_site_fract_z
Cs1 Cs 0.213 0.213 0.203
Cs2 Cs 0.787 0.787 0.797
Sr1 Sr 0.000 0.000 0.500
Cu1 Cu 0.448 0.448 0.739
Cu2 Cu 0.552 0.552 0.261
I1 I 0.196 0.703 0.204
I2 I 0.253 0.253 0.637
I3 I 0.297 0.804 0.796
I4 I 0.703 0.196 0.204
I5 I 0.747 0.747 0.363
I6 I 0.804 0.297 0.796
```

This record from Alexandria describes a geometry-optimized Ti2Tl2Bi structure. The functional is PBE-GGA.

ΔE to the lowest computed polymorph = 0.180 eV/atom
crystal system = tetragonal
M_tot = 2.00 μB per formula unit
ΔE_f = 1.37 eV per formula unit

```
data_Ti2Tl2Bi
_symmetry_space_group_name_H-M 'P 1'
_symmetry_Int_Tables_number 1
_cell_length_a 8.702
_cell_length_b 8.702
_cell_length_c 3.163
_cell_angle_alpha 90.00
_cell_angle_beta 90.00
_cell_angle_gamma 90.00
loop_
_symmetry_equiv_pos_as_xyz
'x,y,z'
loop_
_atom_site_label
_atom_site_type_symbol
_atom_site_fract_x
_atom_site_fract_y
_atom_site_fract_z
Ti1 Ti 0.114 0.386 0.000
Ti2 Ti 0.386 0.886 0.000
Ti3 Ti 0.614 0.114 0.000
Ti4 Ti 0.886 0.614 0.000
Tl1 Tl 0.177 0.677 0.500
Tl2 Tl 0.323 0.177 0.500
Tl3 Tl 0.677 0.823 0.500
Tl4 Tl 0.823 0.323 0.500
Bi1 Bi 0.000 0.000 0.500
Bi2 Bi 0.500 0.500 0.500
```

What did the first record say?
This record from Alexandria describes a geometry-optimized Cs2SrCu2I6 structure. The functional is PBE-GGA.

crystal system = monoclinic
M_tot = 0.00 μB per formula unit
energy relative to the elements, uncorrected = -1.06 eV per atom

```
data_Cs2SrCu2I6
_symmetry_space_group_name_H-M 'P 1'
_symmetry_Int_Tables_number 1
_cell_length_a 8.484
_cell_length_b 8.484
_cell_length_c 9.571
_cell_angle_alpha 115.09
_cell_angle_beta 115.09
_cell_angle_gamma 60.18
loop_
_symmetry_equiv_pos_as_xyz
'x,y,z'
loop_
_atom_site_label
_atom_site_type_symbol
_atom_site_fract_x
_atom_site_fract_y
_atom_site_fract_z
Cs1 Cs 0.213 0.213 0.203
Cs2 Cs 0.787 0.787 0.797
Sr1 Sr 0.000 0.000 0.500
Cu1 Cu 0.448 0.448 0.739
Cu2 Cu 0.552 0.552 0.261
I1 I 0.196 0.703 0.204
I2 I 0.253 0.253 0.637
I3 I 0.297 0.804 0.796
I4 I 0.703 0.196 0.204
I5 I 0.747 0.747 0.363
I6 I 0.804 0.297 0.796
```

Which formula does entry 2 have? Ti2Tl2Bi